[1]
DFT (PBEsol) results for a geometry-optimized HgTeRu2 structure.

a = 3.110 Å, b = 3.110 Å, c = 8.411 Å
α = 79.34°, β = 79.34°, γ = 60.00°
Fractional positions:
Ru: 0.756 0.756 0.732
Ru: 0.244 0.244 0.268
Hg: 0.000 0.000 0.000
Te: 0.500 0.500 0.500

## Properties
V (Å³/cell): 69
Space-group type: R-3m (166)
Excess energy over the best structure of this formula in the dataset (meV per atom): 0.0
Formation energy (no corrections) (eV/atom): 0.422

***

[2]
DFT (PBEsol) results for a geometry-optimized NdGa6 structure.

a = 5.917 Å, b = 5.917 Å, c = 7.581 Å
α = 90.00°, β = 90.00°, γ = 90.00°
Fractional positions:
Ga: 0.185 0.315 0.352
Ga: 0.685 0.185 0.352
Ga: 0.315 0.815 0.352
Ga: 0.815 0.315 0.648
Ga: 0.815 0.685 0.352
Ga: 0.000 0.000 0.162
Ga: 0.685 0.815 0.648
Ga: 0.315 0.185 0.648
Ga: 0.500 0.500 0.838
Ga: 0.185 0.685 0.648
Ga: 0.000 0.000 0.838
Ga: 0.500 0.500 0.162
Nd: 0.500 0.000 0.000
Nd: 0.000 0.500 0.000

## Properties
V (Å³/cell): 265
Space-group type: P4/nbm (125)
Calculated formation energy (meV per atom): -396

***

[3]
DFT (PBEsol) results for a geometry-optimized LaNiMo2 structure.

a = 3.171 Å, b = 4.327 Å, c = 5.725 Å
α = 111.00°, β = 104.50°, γ = 94.04°
Fractional positions:
Mo: 0.000 0.000 0.500
Mo: 0.500 0.500 0.500
Ni: 0.500 0.000 0.000
La: 0.000 0.500 0.000

## Properties
V (Å³/cell): 70
Space-group type: C2/m (12)
Excess energy over the best structure of this formula in the dataset (meV per atom): 120.0
Calculated formation energy (meV per atom): 555

***

[4]
DFT (PBEsol) results for a geometry-optimized TaTl2 structure.

a = 3.123 Å, b = 4.024 Å, c = 5.758 Å
α = 110.45°, β = 105.74°, γ = 90.00°
Fractional positions:
Tl: 0.343 0.343 0.686
Tl: 0.657 0.657 0.314
Ta: 0.000 0.000 0.000

## Properties
V (Å³/cell): 65
Space-group type: Immm (71)
Calculated formation energy (meV per atom): 707

***

[5]
DFT (PBEsol) results for a geometry-optimized AlRh2Au structure.

a = 2.813 Å, b = 2.813 Å, c = 7.253 Å
α = 90.00°, β = 90.00°, γ = 90.00°
Fractional positions:
Al: 0.000 0.000 0.481
Rh: 0.500 0.500 0.265
Rh: 0.000 0.000 0.015
Au: 0.500 0.500 0.739

## Properties
V (Å³/cell): 57
Space-group type: P4mm (99)
Calculated formation energy (meV per atom): -290

***

[6]
DFT (PBEsol) results for a geometry-optimized RbIBrN2 structure.

a = 4.620 Å, b = 4.620 Å, c = 8.309 Å
α = 90.00°, β = 90.00°, γ = 90.00°
Fractional positions:
N: 0.000 0.500 0.000
N: 0.500 0.000 0.000
Br: 0.000 0.000 0.000
I: 0.000 0.000 0.500
Rb: 0.500 0.500 0.500

## Properties
V (Å³/cell): 177
Space-group type: P4/mmm (123)
Formation energy (no corrections) (eV/atom): 1.427

***

[7]
DFT (PBEsol) results for a geometry-optimized LiBi2P3O11 structure.

a = 8.036 Å, b = 8.036 Å, c = 9.796 Å
α = 62.09°, β = 62.09°, γ = 68.43°
Fractional positions:
O: 0.500 0.840 0.876
O: 0.958 0.270 0.943
O: 0.374 0.260 0.987
O: 0.631 0.759 0.481
O: 0.012 0.938 0.147
O: 0.057 0.733 0.524
O: 0.321 0.612 0.813
O: 0.241 0.369 0.519
O: 0.160 0.500 0.124
O: 0.700 0.405 0.661
O: 0.825 0.513 0.350
O: 0.730 0.042 0.057
O: 0.517 0.483 0.000
O: 0.916 0.979 0.656
O: 0.472 0.528 0.500
O: 0.388 0.679 0.187
O: 0.062 0.988 0.853
O: 0.487 0.175 0.650
O: 0.595 0.300 0.339
O: 0.021 0.084 0.344
O: 0.267 0.943 0.476
O: 0.740 0.626 0.013
Bi: 0.650 0.096 0.823
Bi: 0.904 0.350 0.177
Bi: 0.349 0.914 0.683
Bi: 0.086 0.651 0.317
P: 0.062 0.938 0.500
P: 0.340 0.462 0.978
P: 0.661 0.550 0.504
P: 0.450 0.339 0.496
P: 0.538 0.660 0.022
P: 0.941 0.059 0.000
Li: 0.046 0.465 0.713
Li: 0.535 0.954 0.287

## Properties
V (Å³/cell): 485
Space-group type: C2 (5)
Formation energy (no corrections) (eV/atom): -1.988

***

[8]
DFT (PBEsol) results for a geometry-optimized TlFe2CoPd structure.

a = 4.269 Å, b = 4.269 Å, c = 4.757 Å
α = 90.00°, β = 90.00°, γ = 90.00°
Fractional positions:
Fe: 0.000 0.500 0.000
Fe: 0.500 0.000 0.000
Pd: 0.500 0.500 0.500
Co: 0.000 0.000 0.000
Tl: 0.000 0.000 0.500

## Properties
V (Å³/cell): 87
Space-group type: P4/mmm (123)
Calculated formation energy (meV per atom): 957

***

[9]
DFT (PBEsol) results for a geometry-optimized CsNbP2O8 structure.

a = 4.949 Å, b = 8.903 Å, c = 18.446 Å
α = 90.00°, β = 95.77°, γ = 90.00°
Fractional positions:
O: 0.195 0.410 0.162
O: 0.917 0.842 0.899
O: 0.531 0.284 0.749
O: 0.969 0.784 0.751
O: 0.811 0.429 0.401
O: 0.385 0.007 0.751
O: 0.685 0.634 0.965
O: 0.689 0.929 0.099
O: 0.189 0.571 0.599
O: 0.433 0.774 0.856
O: 0.615 0.993 0.249
O: 0.885 0.493 0.251
O: 0.031 0.216 0.249
O: 0.083 0.158 0.101
O: 0.362 0.415 0.296
O: 0.695 0.090 0.662
O: 0.115 0.507 0.749
O: 0.138 0.915 0.204
O: 0.638 0.585 0.704
O: 0.067 0.274 0.644
O: 0.311 0.071 0.901
O: 0.185 0.866 0.465
O: 0.933 0.726 0.356
O: 0.815 0.134 0.535
O: 0.805 0.590 0.838
O: 0.862 0.085 0.796
O: 0.567 0.226 0.144
O: 0.417 0.658 0.399
O: 0.315 0.366 0.035
O: 0.583 0.342 0.601
O: 0.469 0.716 0.251
O: 0.305 0.910 0.338
P: 0.797 0.214 0.606
P: 0.203 0.786 0.394
P: 0.887 0.622 0.757
P: 0.613 0.122 0.743
P: 0.297 0.286 0.106
P: 0.113 0.378 0.243
P: 0.387 0.878 0.257
P: 0.703 0.714 0.894
Nb: 0.829 0.055 0.166
Nb: 0.671 0.555 0.334
Nb: 0.329 0.445 0.666
Nb: 0.171 0.945 0.834
Cs: 0.774 0.290 0.940
Cs: 0.226 0.710 0.060
Cs: 0.726 0.790 0.560
Cs: 0.274 0.210 0.440

## Properties
V (Å³/cell): 809
Space-group type: P2_1/c (14)
Formation energy (no corrections) (eV/atom): -2.373

***

[10]
DFT (PBEsol) results for a geometry-optimized Be2CoRu structure.

a = 2.726 Å, b = 3.745 Å, c = 3.745 Å
α = 90.00°, β = 90.00°, γ = 90.00°
Fractional positions:
Ru: 0.500 0.000 0.000
Be: 0.000 0.500 0.000
Be: 0.000 0.000 0.500
Co: 0.500 0.500 0.500

## Properties
V (Å³/cell): 38
Space-group type: P4/mmm (123)
Calculated formation energy (meV per atom): -203

***

[11]
DFT (PBEsol) results for a geometry-optimized LaCd2Cl structure.

a = 5.119 Å, b = 5.119 Å, c = 5.119 Å
α = 60.00°, β = 60.00°, γ = 60.00°
Fractional positions:
La: 0.750 0.750 0.750
Cd: 0.000 0.000 0.000
Cd: 0.250 0.250 0.250
Cl: 0.500 0.500 0.500

## Properties
V (Å³/cell): 95
Space-group type: F-43m (216)
Excess energy over the best structure of this formula in the dataset (meV per atom): 48.7
Formation energy (no corrections) (eV/atom): -0.625

***

[12]
DFT (PBEsol) results for a geometry-optimized BaCa2Ir structure.

a = 3.595 Å, b = 3.595 Å, c = 10.134 Å
α = 90.00°, β = 90.00°, γ = 90.00°
Fractional positions:
Ir: 0.000 0.000 0.478
Ca: 0.500 0.500 0.329
Ca: 0.000 0.000 0.026
Ba: 0.500 0.500 0.667

## Properties
V (Å³/cell): 131
Space-group type: P4mm (99)
Excess energy over the best structure of this formula in the dataset (meV per atom): 0.0
Calculated formation energy (meV per atom): 27

***

> Which of these has the lowest V?

Be2CoRu

***

> Among the records above, which one has the highest V?

CsNbP2O8

***

> Among the records above, which one has the highest V?

CsNbP2O8

***

> Which formula does entry 7 have?

LiBi2P3O11